No. 1
The following is a PBE-GGA calculation of crystalline TcNiAsW at its relaxed geometry, from OQMD via LeMat-Bulk.

The calculation puts the magnetic moment at 0.13 μB per cell. The calculation puts the density at 12.0 g/cm3. For the final energy, the calculation gives -8.075 eV per atom.

Lattice parameters (Å, degrees): 4.327 4.327 4.327 60.00 60.00 60.00
Atoms (fractional coordinates):
Ni: 0.750 0.750 0.750
As: 0.000 0.000 0.000
Tc: 0.250 0.250 0.250
W: 0.500 0.500 0.500

***

No. 2
The following is a PBE-GGA calculation of crystalline YTcNiAs at its relaxed geometry, from OQMD via LeMat-Bulk.

The calculation puts the magnetic moment at 0.28 μB per cell. The calculation puts the density at 8.2 g/cm3. For the final energy, the calculation gives -6.802 eV per atom.

Lattice parameters (Å, degrees): 4.506 4.506 4.506 60.00 60.00 60.00
Atoms (fractional coordinates):
Ni: 0.750 0.750 0.750
Y: 0.500 0.500 0.500
Tc: 0.250 0.250 0.250
As: 0.000 0.000 0.000

***

No. 3
The following is a PBE-GGA calculation of crystalline ZrNiTe2As2 at its relaxed geometry, from OQMD via LeMat-Bulk.

The calculation puts the magnetic moment at 0.01 μB per cell. The calculation puts the density at 7.2 g/cm3. For the final energy, the calculation gives -5.271 eV per atom.

Lattice parameters (Å, degrees): 7.145 7.145 7.145 149.85 135.64 54.57
Atoms (fractional coordinates):
Zr: 0.383 0.383 0.000
Te: 0.778 0.278 0.500
Te: 0.202 0.702 0.500
Ni: 0.620 0.620 0.000
As: 0.756 0.008 0.748
As: 0.260 0.008 0.252

***

No. 4
The following is a PBE-GGA calculation of crystalline Th2NiAs4 at its relaxed geometry, from OQMD via LeMat-Bulk.

The calculation puts the magnetic moment at 0.00 μB per cell. The calculation puts the density at 8.9 g/cm3. For the final energy, the calculation gives -6.575 eV per atom.

Lattice parameters (Å, degrees): 4.120 4.120 9.064 90.00 90.00 90.00
Atoms (fractional coordinates):
Ni: 0.000 0.000 0.000
As: 0.500 0.000 0.867
Th: 0.000 0.500 0.764
Th: 0.500 0.000 0.236
As: 0.500 0.500 0.500
As: 0.000 0.000 0.500
As: 0.000 0.500 0.133

***

No. 5
The following is a PBE-GGA calculation of crystalline TlNi3As5 at its relaxed geometry, from OQMD via LeMat-Bulk.

The calculation puts the magnetic moment at 0.20 μB per cell. The calculation puts the density at 7.3 g/cm3. For the final energy, the calculation gives -4.794 eV per atom.

Lattice parameters (Å, degrees): 5.034 5.034 7.819 90.00 90.00 120.00
Atoms (fractional coordinates):
Ni: 0.500 0.000 0.500
As: 0.333 0.667 0.248
Tl: 0.000 0.000 0.000
As: 0.667 0.333 0.752
Ni: 0.500 0.500 0.500
As: 0.000 0.000 0.500
Ni: 0.000 0.500 0.500
As: 0.333 0.667 0.752
As: 0.667 0.333 0.248

***

No. 6
The following is a PBE-GGA calculation of crystalline TlNi4As2 at its relaxed geometry, from OQMD via LeMat-Bulk.

The calculation puts the magnetic moment at 0.00 μB per cell. The calculation puts the density at 8.4 g/cm3. For the final energy, the calculation gives -5.006 eV per atom.

Lattice parameters (Å, degrees): 8.818 8.818 8.818 26.09 26.09 26.09
Atoms (fractional coordinates):
Ni: 0.854 0.854 0.854
As: 0.761 0.761 0.761
Ni: 0.146 0.146 0.146
Ni: 0.551 0.551 0.551
As: 0.239 0.239 0.239
Tl: 0.000 0.000 0.000
Ni: 0.449 0.449 0.449

***

No. 7
The following is a PBE-GGA calculation of crystalline TmNiAs at its relaxed geometry, from OQMD via LeMat-Bulk.

The calculation puts the magnetic moment at 0.02 μB per cell. The calculation puts the density at 9.5 g/cm3. For the final energy, the calculation gives -5.948 eV per atom.

Lattice parameters (Å, degrees): 4.034 4.034 14.993 90.00 90.00 120.00
Atoms (fractional coordinates):
Ni: 0.333 0.667 0.636
Ni: 0.667 0.333 0.136
As: 0.333 0.667 0.380
As: 0.667 0.333 0.880
Tm: 0.000 0.000 0.250
Ni: 0.333 0.667 0.864
Tm: 0.000 0.000 0.750
Tm: 0.000 0.000 0.500
As: 0.667 0.333 0.620
Tm: 0.000 0.000 0.000
Ni: 0.667 0.333 0.364
As: 0.333 0.667 0.120

***

No. 8
The following is a PBE-GGA calculation of crystalline YTmNi2As2 at its relaxed geometry, from OQMD via LeMat-Bulk.

The offset from the most stable computed form comes out at 0.00 kJ/mol of atoms. The calculation puts the magnetic moment at 0.01 μB per cell. The calculation puts the density at 8.1 g/cm3.

Lattice parameters (Å, degrees): 4.052 4.052 15.194 90.00 90.00 120.00
Atoms (fractional coordinates):
Tm: 0.000 0.000 0.750
Y: 0.000 0.000 0.500
Ni: 0.333 0.667 0.638
As: 0.333 0.667 0.378
Ni: 0.667 0.333 0.362
Ni: 0.667 0.333 0.138
As: 0.667 0.333 0.878
Y: 0.000 0.000 0.000
As: 0.667 0.333 0.622
As: 0.333 0.667 0.122
Ni: 0.333 0.667 0.862
Tm: 0.000 0.000 0.250